{"formula": "AgHgAu2", "functional": "PBE-GGA", "state": "relaxed", "cell": [[-1.4605, -2.1462, 4.0247], [-1.4422, -1.9502, -1.5633], [3.9628, -4.0111, -0.7008]], "species": ["Hg", "Au", "Ag", "Au"], "frac_coords": [[0.0000, 0.5174, 0.4692], [0.0000, 0.1558, 0.9729], [0.5000, 0.7363, 0.7907], [0.5000, 0.0904, 0.2671]], "vol_a3_per_atom": 19.25, "delta_e_f_ev_per_atom": 0.040, "space_group": "Pm (6)"}

{"formula": "Ag2HgAu", "functional": "PBE-GGA", "state": "relaxed", "cell": [[4.0176, 0.0000, 0.0000], [0.0000, 3.1546, -0.2694], [0.0000, 0.4735, 5.9870]], "species": ["Au", "Hg", "Ag", "Ag"], "frac_coords": [[0.0000, 0.8755, 0.4893], [0.5000, 0.3747, 0.7528], [0.0000, 0.8744, 0.0071], [0.5000, 0.3753, 0.2509]], "vol_a3_per_atom": 19.10, "delta_e_f_ev_per_atom": 0.027, "space_group": "Pm (6)"}

Values for final energy, eV/cell, ordered as above
-9.55, -9.17